A relaxed structure of SrHf2Zn2O7. Source: Alexandria, functional PBE.

SG = Imm2, No. 44

The structure in POSCAR format:
```
SrHf2Zn2O7
1.0
-2.0411 9.1771 2.0933
2.0411 -9.1771 2.0933
2.0411 9.1771 -2.0933
Sr Hf Zn O
1 2 2 7
direct
0.0000 0.0000 0.0000
0.3903 0.0012 0.3891
0.6121 0.0012 0.6109
0.2336 0.5013 0.7323
0.7690 0.5013 0.2677
0.1183 0.5013 0.6170
0.2707 0.0014 0.2693
0.3983 0.5012 0.8970
0.5026 0.0026 0.5000
0.6042 0.5012 0.1030
0.7321 0.0014 0.7307
0.8843 0.5013 0.3830
```


A relaxed structure of Sr2HfZn2O6. Source: Alexandria, functional PBE.

SG = R-3m, No. 166

The structure in POSCAR format:
```
Sr2HfZn2O6
1.0
2.9890 1.7257 5.4315
-2.9890 1.7257 5.4315
0.0000 -3.4514 5.4315
Sr Hf Zn O
2 1 2 6
direct
0.2067 0.2067 0.2067
0.7933 0.7933 0.7933
0.0000 0.0000 0.0000
0.4168 0.4168 0.4168
0.5832 0.5832 0.5832
0.2217 0.7637 0.7637
0.2363 0.2363 0.7783
0.2363 0.7783 0.2363
0.7637 0.2217 0.7637
0.7637 0.7637 0.2217
0.7783 0.2363 0.2363
```


Respective E_form (uncorrected) values: -2.678 -2.378 eV/atom.